Compound: NaYTiNbO6F
Source: the Alexandria database
Functional: PBEsol
Structure: optimized geometry

```
NaYTiNbO6F
1.0
-2.066 6.106 3.311
-6.535 -0.539 -3.085
-3.329 -5.469 8.008
Na Y Ti Nb O F
4 4 4 4 24 4
Cartesian
-3.187 -2.860 3.285
-5.013 -0.413 -2.366
-1.313 0.055 2.773
-4.082 0.582 8.546
-4.133 0.200 4.982
-6.133 2.633 -0.752
-7.377 0.394 7.047
-4.554 -0.296 1.187
-6.313 -2.749 5.343
-2.769 2.910 0.836
-5.617 2.848 2.891
-7.497 -0.077 3.394
-2.355 3.134 4.442
-1.718 -0.142 -0.811
-6.482 -3.131 1.730
-3.040 -2.496 6.876
-5.977 -4.683 5.695
-2.600 0.965 0.587
-6.822 -2.254 7.110
-8.608 0.706 1.934
-4.514 2.402 1.405
-5.940 0.986 3.126
-6.957 3.051 1.464
-4.221 2.478 4.228
-8.178 1.027 4.874
-6.731 3.505 4.410
-5.396 4.828 2.803
-9.288 3.153 3.214
-5.757 -3.452 3.561
-8.324 -3.523 2.338
-3.474 -4.421 7.021
-4.461 -2.112 5.539
-6.639 -1.167 1.997
-8.221 -3.221 5.237
-4.209 -2.064 8.433
-6.585 -0.936 4.827
-9.209 -1.093 3.522
-1.835 2.648 2.579
-6.444 -0.628 9.009
-2.774 4.989 3.894
-5.280 1.003 6.694
-5.818 0.463 -0.461
-3.430 -0.639 3.060
-9.333 -0.630 7.176
```

Calculated values
Spin magnetization (μB per formula unit): 0.00
Formation energy (no corrections) (meV per atom): -2982
Distance to the lowest polymorph of the same formula (meV per atom): 0
ρ (g cm⁻³): 4.536

=====

Compound: K2BaZr
Source: the Alexandria database
Functional: PBEsol
Structure: optimized geometry

```
K2BaZr
1.0
-2.713 -5.219 2.386
3.613 -4.717 2.233
0.241 -1.132 6.241
Ba K Zr
1 2 1
Cartesian
0.000 0.000 0.000
0.285 -2.767 2.715
0.856 -8.301 8.145
0.570 -5.534 5.430
```

Calculated values
Spin magnetization (μB per formula unit): 3.39
Formation energy (eV/atom): 0.9885
Distance to the lowest polymorph of the same formula (meV per atom): 106
ρ (g cm⁻³): 2.817

=====

Compound: Cd2BPbC
Source: the Alexandria database
Functional: PBEsol
Structure: optimized geometry

```
Cd2BPbC
1.0
-3.497 2.718 -0.659
-2.018 -1.375 5.043
2.859 4.236 2.299
Pb C B Cd
1 1 1 2
Cartesian
0.000 0.000 0.000
-1.328 2.789 3.342
-1.748 1.359 -0.329
1.430 2.118 1.149
-1.009 -0.687 2.522
```

Calculated values
Spin magnetization (μB per formula unit): 2.04
Formation energy (eV/atom): 2.4891
ρ (g cm⁻³): 5.372

=====

Compound: LaTlMo2
Source: the Alexandria database
Functional: PBEsol
Structure: optimized geometry

```
LaTlMo2
1.0
3.044 0.000 0.000
-1.217 2.791 0.000
0.000 0.000 9.747
La Mo Tl
1 2 1
Cartesian
0.914 1.395 2.189
0.000 0.000 9.440
0.914 1.395 7.595
0.000 0.000 5.144
```

Calculated values
Spin magnetization (μB per formula unit): 0.00
Formation energy (eV/atom): 0.3784
Distance to the lowest polymorph of the same formula (meV per atom): 0
ρ (g cm⁻³): 10.732

=====

Compound: CrB3O
Source: the Alexandria database
Functional: PBEsol
Structure: optimized geometry

```
CrB3O
1.0
3.893 0.000 0.000
0.000 3.893 0.000
0.000 0.000 3.893
Cr B O
1 3 1
Cartesian
0.000 0.000 0.000
0.000 1.946 0.000
0.000 0.000 1.946
1.946 0.000 0.000
1.946 1.946 1.946
```

Calculated values
Spin magnetization (μB per formula unit): 3.17
Formation energy (no corrections) (meV per atom): 1880
Distance to the lowest polymorph of the same formula (meV per atom): 759
ρ (g cm⁻³): 2.827

=====

Compound: In3Hg5
Source: the Alexandria database
Functional: PBEsol
Structure: optimized geometry

```
In3Hg5
1.0
-4.576 -0.619 -0.268
0.916 -5.160 -3.718
0.189 -3.672 5.270
Hg In
5 3
Cartesian
0.000 0.000 0.000
0.094 -1.836 2.635
0.458 -2.580 -1.859
-1.997 -2.639 0.275
-1.475 -6.812 1.009
0.552 -4.416 0.776
-1.541 -5.125 -1.770
-1.931 -4.326 3.054
```

Calculated values
Spin magnetization (μB per formula unit): 0.00
Formation energy (eV/atom): -0.0205
Distance to the lowest polymorph of the same formula (meV per atom): 0
ρ (g cm⁻³): 11.716

=====

Compound: Ge2N2O
Source: the Alexandria database
Functional: PBEsol
Structure: optimized geometry

```
Ge2N2O
1.0
-2.917 -0.228 0.932
1.478 0.036 4.632
0.383 4.702 -2.711
Ge O N
2 1 2
Cartesian
0.151 3.003 1.206
-0.467 1.526 3.967
-0.565 -0.092 3.267
-0.996 2.627 2.582
-0.215 1.880 -0.214
```

Calculated values
Spin magnetization (μB per formula unit): 0.00
Formation energy (no corrections) (meV per atom): -626
ρ (g cm⁻³): 4.558

=====

Compound: VZnSi2O6
Source: the Alexandria database
Functional: PBEsol
Structure: optimized geometry

```
VZnSi2O6
1.0
-2.310 0.885 -4.761
0.931 -5.633 -3.425
-6.321 -1.941 0.780
V Zn Si O
2 2 4 12
Cartesian
-7.353 -1.634 -3.197
-0.347 -5.055 -4.209
-5.158 -2.606 -1.420
-2.542 -4.083 -5.987
-3.932 -1.357 -3.905
-6.147 -4.266 -5.172
-1.553 -2.423 -2.234
-3.768 -5.332 -3.501
-4.331 -1.784 -5.438
-4.862 -4.291 -4.153
-3.369 -4.905 -1.969
-2.838 -2.399 -3.253
-5.261 -1.441 -2.974
-7.108 -3.017 -4.775
-2.439 -5.248 -4.432
-0.592 -3.672 -2.631
-0.861 -0.930 -2.302
-4.496 -6.806 -3.412
-3.204 0.117 -3.994
-6.839 -5.759 -5.104
```

Calculated values
Spin magnetization (μB per formula unit): 2.96
Formation energy (no corrections) (meV per atom): -2257
ρ (g cm⁻³): 4.015

=====

Compound: Cs2AuBr
Source: the Alexandria database
Functional: PBEsol
Structure: optimized geometry

```
Cs2AuBr
1.0
-2.323 4.531 3.095
-4.439 3.228 -2.320
-5.498 -0.441 2.254
Cs Au Br
2 1 1
Cartesian
-3.065 1.830 0.757
-9.195 5.489 2.272
-6.130 3.659 1.515
0.000 0.000 0.000
```

Calculated values
Spin magnetization (μB per formula unit): 0.00
Formation energy (no corrections) (meV per atom): -953
Distance to the lowest polymorph of the same formula (meV per atom): 0
ρ (g cm⁻³): 6.024

=====

Compound: KMgMo2
Source: the Alexandria database
Functional: PBEsol
Structure: optimized geometry

```
KMgMo2
1.0
-0.770 -2.050 -1.564
2.430 0.811 -0.824
4.711 -7.067 6.943
K Mg Mo
1 1 2
Cartesian
3.186 -4.153 2.278
0.830 -0.619 -1.194
1.026 -1.538 1.511
3.686 -5.528 5.432
```

Calculated values
Spin magnetization (μB per formula unit): 0.00
Formation energy (eV/atom): 0.9557
ρ (g cm⁻³): 5.613

=====

Compound: SrZr2Rh
Source: the Alexandria database
Functional: PBEsol
Structure: optimized geometry

```
SrZr2Rh
1.0
3.326 0.000 0.000
0.000 3.326 0.000
0.000 0.000 8.466
Rh Sr Zr
1 1 2
Cartesian
0.000 0.000 4.665
1.663 1.663 2.497
0.000 0.000 8.006
1.663 1.663 5.998
```

Calculated values
Spin magnetization (μB per formula unit): 0.00
Formation energy (eV/atom): -0.1540
Distance to the lowest polymorph of the same formula (meV per atom): 0
ρ (g cm⁻³): 6.612

=====

Compound: Mg3Cr2Si4O14
Source: the Alexandria database
Functional: PBEsol
Structure: optimized geometry

```
Mg3Cr2Si4O14
1.0
7.490 0.000 0.000
3.745 8.258 0.014
3.745 2.885 8.106
Mg Cr Si O
6 4 8 28
Cartesian
11.889 6.329 7.343
4.399 2.127 4.824
10.580 9.015 3.296
8.358 6.915 2.037
3.090 4.814 0.777
6.622 4.228 6.083
5.295 6.915 2.037
9.684 4.228 6.083
0.000 0.000 0.000
3.745 5.571 4.060
5.906 3.729 2.402
12.818 9.301 6.462
10.081 9.657 7.317
8.643 4.086 3.257
2.162 1.842 1.657
4.898 1.485 0.803
6.337 7.056 4.863
9.073 7.413 5.717
5.325 5.852 5.423
3.414 3.818 4.684
8.122 4.214 7.395
4.076 6.504 0.638
10.050 6.127 5.512
9.103 2.518 3.047
6.857 6.900 3.348
13.795 10.587 6.668
5.876 8.624 5.073
7.554 6.864 5.986
11.566 7.325 3.436
4.929 5.016 2.608
5.358 3.053 1.013
9.654 8.539 1.377
3.680 1.292 1.926
1.184 0.556 1.452
2.192 2.954 0.483
7.425 4.279 2.134
5.937 2.617 3.577
11.299 9.850 6.194
9.621 8.090 7.107
10.903 4.638 7.482
9.042 8.525 4.542
6.857 6.929 0.725
12.787 8.189 7.637
8.122 4.242 4.772
5.325 2.604 6.743
9.654 5.291 2.697
```

Calculated values
Spin magnetization (μB per formula unit): 6.00
Formation energy (no corrections) (meV per atom): -2529
ρ (g cm⁻³): 3.402